Compound: MgNi6B
Source: the Alexandria database
Functional: PBE-GGA
Structure: optimized geometry

```
8
Lattice="5.125 0.000 0.000 2.563 4.439 0.000 2.563 1.480 4.348" Properties=species:S:1:pos:R:3 pbc="T T T"
Mg 5.125 2.959 2.174
Ni 8.874 5.124 3.314
Ni 6.502 5.124 3.314
Ni 2.563 2.849 1.034
Ni 3.749 0.795 1.034
Ni 1.376 0.795 1.034
Ni 7.688 3.069 3.314
B 0.000 0.000 0.000
```

Results
- E_form: 0.071 eV/atom
- Fermi-level density of states: 1.434 states/eV/atom
- Calculated total energy: -5.2988 eV/atom
- Space group: R-3m (166)
- Crystal system: trigonal